1.
## Sc2TlP (PBE)

Data for Sc2TlP after structural relaxation.

Results
distance to the lowest polymorph of the same formula = 246.5 meV/atom
calculated total energy = -5.765 eV/atom
spin magnetization = 0.0 μB/f.u.
theoretical density = 6.393 g/cm³
energy of formation = -2.6 eV/f.u.

Cell: 3.2900 3.2900 8.0571 Å, 90.00 90.00 104.36°
With the nearest neighbours (Å) after each atom.
Sites, in units of the cell vectors:
Sc: 0.0000 0.0000 0.2020  2 P 2.59
Sc: 0.0000 0.0000 0.7980  2 P 2.59
Tl: 0.5000 0.5000 0.5000  4 Sc 3.14, 4 Tl 3.29
P: 0.5000 0.5000 0.0000  4 Sc 2.59


2.
## Sc3TlP (PBE)

Data for Sc3TlP after structural relaxation.

Results
distance to the lowest polymorph of the same formula = 644.5 meV/atom
calculated total energy = -5.445 eV/atom
spin magnetization = 0.0 μB/f.u.
theoretical density = 5.034 g/cm³
energy of formation = -0.5 eV/f.u.

Cell: 8.6713 8.6713 5.6472 Å, 90.00 90.00 144.89°
With the nearest neighbours (Å) after each atom.
Sites, in units of the cell vectors:
Sc: 0.0768 0.4216 0.2500  1 P 2.55, 2 Sc 2.61-2.62
Sc: 0.5784 0.9232 0.2500  1 P 2.55, 2 Sc 2.61-2.62
Sc: 0.4216 0.0768 0.7500  1 P 2.55, 2 Sc 2.61-2.62
Sc: 0.9232 0.5784 0.7500  1 P 2.55, 2 Sc 2.61-2.62
Sc: 0.0000 0.0000 0.0000  2 Sc 2.82, 2 Tl 3.00, 4 P 3.05
Sc: 0.0000 0.0000 0.5000  2 Sc 2.82, 2 Tl 3.00, 4 P 3.05
P: 0.4598 0.5402 0.2500  2 Sc 2.55
P: 0.5402 0.4598 0.7500  2 Sc 2.55
Tl: 0.1604 0.8396 0.2500  8 Sc 3.00-3.12
Tl: 0.8396 0.1604 0.7500  8 Sc 3.00-3.12